Entry 1:
DFT (PBE) results for a geometry-optimized LaTbY2Tl2 structure.

Lattice parameters (Å, degrees): 5.1796 10.1852 6.8664 90.00 90.00 90.00
Last column: nearest neighbours and their distance in Å.
Space group Pmc2_1 (No. 26)
Inequivalent atoms, fractional coordinates:
La (0.0000, 0.0446, 0.0000) (multiplicity 2)  5 Tl 3.32-3.58, 2 Tb 3.54, 2 La 3.55
Tb (0.5000, 0.1948, 0.7273) (multiplicity 2)  4 Tl 3.20-3.43, 2 La 3.54
Y (0.0000, 0.3184, 0.3845) (multiplicity 2)  4 Tl 3.18-3.26, 2 Y 3.53
Y (0.5000, 0.4547, 0.0995) (multiplicity 2)  5 Tl 3.24-3.57, 4 Y 3.53-3.56
Tl (0.0000, 0.3705, 0.8450) (multiplicity 2)  4 Y 3.18-3.24, 2 Tb 3.25, 1 La 3.49
Tl (0.5000, 0.1408, 0.2676) (multiplicity 2)  2 Tb 3.20-3.43, 3 Y 3.26-3.40, 4 La 3.32-3.58

N(E_F): 13.33 states/eV/cell
Final energy: -4.827 eV/atom
Energy of formation from the pure elements: -290 meV/atom

=====

Entry 2:
DFT (PBE) results for a geometry-optimized Tb3CeDy2Te6 structure.

Lattice parameters (Å, degrees): 19.1126 4.3601 8.8300 90.00 103.28 90.00
Last column: nearest neighbours and their distance in Å.
Space group C2/m (No. 12)
Inequivalent atoms, fractional coordinates:
Tb (0.0000, 0.0000, 0.0000) (multiplicity 2)  6 Te 3.06-3.13
Tb (0.1638, 0.5000, 0.3332) (multiplicity 4)  6 Te 3.06-3.13
Ce (0.0000, 0.0000, 0.5000) (multiplicity 2)  6 Te 3.15-3.17
Dy (0.1642, 0.5000, 0.8287) (multiplicity 4)  6 Te 3.04-3.11
Te (0.0007, 0.5000, 0.7572) (multiplicity 4)  1 Dy 3.04, 3 Tb 3.06, 2 Ce 3.15
Te (0.1684, 0.0000, 0.0818) (multiplicity 4)  3 Dy 3.11, 3 Tb 3.13
Te (0.1703, 0.0000, 0.5856) (multiplicity 4)  2 Dy 3.08, 3 Tb 3.09-3.10, 1 Ce 3.17

N(E_F): 24.88 states/eV/cell
Final energy: -5.303 eV/atom
ΔE_f (raw): -126.66 kJ/mol of atoms

=====

Entry 3:
DFT (PBE) results for a geometry-optimized La3Cu2Pt7 structure.

Lattice parameters (Å, degrees): 5.5140 5.5140 26.0805 90.00 90.00 120.00
Last column: nearest neighbours and their distance in Å.
Space group R-3m (No. 166, hexagonal axes)
Inequivalent atoms, fractional coordinates:
La (0.0000, 0.0000, 0.0000) (multiplicity 3)  6 Cu 3.18, 12 Pt 3.46
La (0.0000, 0.0000, 0.1393) (multiplicity 6)  12 Pt 3.16-3.37, 3 La 3.49
Cu (0.0000, 0.0000, 0.3334) (multiplicity 6)  6 Pt 2.62-2.63
Pt (0.0000, 0.0000, 0.5000) (multiplicity 3)  6 Pt 2.77
Pt (0.0023, 0.5012, 0.9200) (multiplicity 18)  2 Cu 2.62-2.63, 5 Pt 2.74-2.78

N(E_F): 18.26 states/eV/cell
Final energy: -6.342 eV/atom
Energy of formation from the pure elements: -904 meV/atom